K2La2MoO6 | PBE+U | relaxed

Cell: 6.1162 6.1162 6.5978 Å, 97.28 97.28 119.32°
Element x y z (fractional)
K 0.1552 0.8448 0.0000
K 0.8448 0.1552 0.0000
La 0.3360 0.6640 0.5000
La 0.6640 0.3360 0.5000
Mo 0.0000 0.0000 0.5000
O 0.0393 0.3480 0.6699
O 0.2316 0.2316 0.3215
O 0.3480 0.0393 0.6699
O 0.6520 0.9607 0.3301
O 0.7684 0.7684 0.6785
O 0.9607 0.6520 0.3301

Computed properties:
Symmetry ... No. 12
Final energy ... -6.847 eV per atom